## w
The following is a DFT calculation (PBE) of a relaxed B2ICl crystal.

Its volume is 454.3 Å³ per cell.

The structure belongs to space group I-42d (No. 122); the cell edges are 6.1710, 6.1710 and 11.9285 Å and the angles 90.00°, 90.00° and 90.00°. The inequivalent atoms are B at (0.2172, 0.2500, 0.1250), I at (0.0000, 0.0000, 0.5000) and Cl at (0.0000, 0.0000, 0.0000).

---

## x
The following is a DFT calculation (PBE) of a relaxed B2ICl crystal.

Its volume is 311.4 Å³ per cell.

The structure belongs to space group Fm-3m (No. 225); the cell edges are 6.7777, 6.7777 and 6.7777 Å and the angles 90.00°, 90.00° and 90.00°. The inequivalent atoms are B at (0.2500, 0.2500, 0.2500), I at (0.0000, 0.0000, 0.0000) and Cl at (0.0000, 0.0000, 0.5000).

---

Pick w: it beats the second-best structure by 166 meV/atom.

---

## w
The following is a DFT calculation (PBE) of a relaxed BIN2Cl crystal.

Its volume is 97.9 Å³ per cell.

The structure belongs to space group P4/mmm (No. 123); the cell edges are 3.6960, 3.6960 and 7.1652 Å and the angles 90.00°, 90.00° and 90.00°. The inequivalent atoms are B at (0.0000, 0.0000, 0.0000), I at (0.5000, 0.5000, 0.0000), N at (0.0000, 0.5000, 0.5000) and Cl at (0.5000, 0.5000, 0.5000).

---

## x
The following is a DFT calculation (PBE) of a relaxed BIN2Cl crystal.

Its volume is 88.4 Å³ per cell.

The structure belongs to space group P4/mmm (No. 123); the cell edges are 3.5375, 3.5375 and 7.0620 Å and the angles 90.00°, 90.00° and 90.00°. The inequivalent atoms are B at (0.0000, 0.0000, 0.0000), I at (0.0000, 0.0000, 0.5000), N at (0.0000, 0.5000, 0.0000) and Cl at (0.5000, 0.5000, 0.5000).

---

Pick x: it beats the second-best structure by 897 meV/atom.

---

## w
The following is a DFT calculation (PBE) of a relaxed BI2NCl crystal.

Its volume is 167.1 Å³ per cell.

The structure belongs to space group P4/mmm (No. 123); the cell edges are 7.1208, 7.1208 and 3.2957 Å and the angles 90.00°, 90.00° and 90.00°. The inequivalent atoms are B at (0.0000, 0.0000, 0.0000), I at (0.0000, 0.5000, 0.5000), N at (0.5000, 0.5000, 0.0000) and Cl at (0.5000, 0.5000, 0.5000).

---

## x
The following is a DFT calculation (PBE) of a relaxed BI2NCl crystal.

Its volume is 110.2 Å³ per cell.

The structure belongs to space group P4/mmm (No. 123); the cell edges are 4.9943, 4.9943 and 4.4188 Å and the angles 90.00°, 90.00° and 90.00°. The inequivalent atoms are B at (0.0000, 0.0000, 0.0000), I at (0.0000, 0.5000, 0.5000), N at (0.5000, 0.5000, 0.5000) and Cl at (0.5000, 0.5000, 0.0000).

---

## y
The following is a DFT calculation (PBE) of a relaxed BI2NCl crystal.

Its volume is 181.4 Å³ per cell.

The structure belongs to space group P4/mmm (No. 123); the cell edges are 8.1906, 8.1906 and 2.7047 Å and the angles 90.00°, 90.00° and 90.00°. The inequivalent atoms are B at (0.0000, 0.0000, 0.0000), I at (0.0000, 0.5000, 0.0000), N at (0.0000, 0.0000, 0.5000) and Cl at (0.5000, 0.5000, 0.5000).

---

Pick y: it beats the second-best structure by 1603 meV/atom.

---

## w
The following is a DFT calculation (PBE) of a relaxed BP2ICl crystal.

Its volume is 149.3 Å³ per cell.

The structure belongs to space group P4/mmm (No. 123); the cell edges are 5.2464, 5.2464 and 5.4236 Å and the angles 90.00°, 90.00° and 90.00°. The inequivalent atoms are B at (0.0000, 0.0000, 0.0000), P at (0.0000, 0.5000, 0.5000), I at (0.5000, 0.5000, 0.5000) and Cl at (0.5000, 0.5000, 0.0000).

---

## x
The following is a DFT calculation (PBE) of a relaxed BP2ICl crystal.

Its volume is 86.1 Å³ per cell.

The structure belongs to space group P4/mmm (No. 123); the cell edges are 4.4581, 4.4581 and 4.3338 Å and the angles 90.00°, 90.00° and 90.00°. The inequivalent atoms are B at (0.0000, 0.0000, 0.0000), P at (0.0000, 0.5000, 0.0000), I at (0.5000, 0.5000, 0.5000) and Cl at (0.0000, 0.0000, 0.5000).

---

Pick x: it beats the second-best structure by 1159 meV/atom.